1.
{
  "formula": "Sm8C3Br3N",
  "functional": "PBE",
  "state": "optimized geometry",
  "rho_g_cm3": 7.2,
  "m_tot_mub_per_cell": 0.26,
  "space_group": "R-3m, No. 166",
  "raw_formation_energy_mev_per_atom": -884,
  "energy_ev_per_cell": -92.03,
  "cell": [[3.746, 2.163, 7.131], [-3.746, 2.163, 7.131], [0.000, -4.326, 7.131]],
  "species": ["Sm", "Sm", "Sm", "Sm", "Sm", "Sm", "Sm", "Sm", "C", "C", "C", "Br", "Br", "Br", "N"],
  "frac_coords": [[0.227, 0.730, 0.730], [0.229, 0.229, 0.229], [0.270, 0.270, 0.773], [0.270, 0.773, 0.270], [0.730, 0.227, 0.730], [0.730, 0.730, 0.227], [0.771, 0.771, 0.771], [0.773, 0.270, 0.270], [0.000, 0.000, 0.500], [0.000, 0.500, 0.000], [0.500, 0.000, 0.000], [0.000, 0.500, 0.500], [0.500, 0.000, 0.500], [0.500, 0.500, 0.000], [0.500, 0.500, 0.500]]
}


2.
{
  "formula": "SnCBr2N",
  "functional": "PBE",
  "state": "optimized geometry",
  "rho_g_cm3": 3.4,
  "m_tot_mub_per_cell": 0.00,
  "space_group": "P4/mmm, No. 123",
  "raw_formation_energy_mev_per_atom": 613,
  "energy_ev_per_cell": -21.83,
  "cell": [[7.662, 0.000, 0.000], [0.000, 7.662, 0.000], [0.000, 0.000, 2.529]],
  "species": ["Sn", "C", "Br", "Br", "N"],
  "frac_coords": [[0.000, 0.000, 0.000], [0.500, 0.500, 0.000], [0.000, 0.500, 0.500], [0.500, 0.000, 0.500], [0.500, 0.500, 0.500]]
}


3.
{
  "formula": "Tb6C2Br3N",
  "functional": "PBE",
  "state": "optimized geometry",
  "rho_g_cm3": 8.2,
  "m_tot_mub_per_cell": 0.00,
  "space_group": "C2/m, No. 12",
  "raw_formation_energy_mev_per_atom": -1123,
  "energy_ev_per_cell": -73.05,
  "cell": [[3.179, -5.506, 0.000], [3.179, 5.506, 0.000], [-2.120, 0.000, 7.117]],
  "species": ["Tb", "Tb", "Tb", "Tb", "Tb", "Tb", "C", "C", "Br", "Br", "Br", "N"],
  "frac_coords": [[0.059, 0.391, 0.178], [0.272, 0.272, 0.822], [0.391, 0.059, 0.178], [0.609, 0.941, 0.822], [0.728, 0.728, 0.178], [0.941, 0.609, 0.822], [0.333, 0.667, 0.000], [0.667, 0.333, 0.000], [0.168, 0.832, 0.500], [0.500, 0.500, 0.500], [0.832, 0.168, 0.500], [0.000, 0.000, 0.000]]
}


4.
{
  "formula": "V2CBrN",
  "functional": "PBE",
  "state": "optimized geometry",
  "rho_g_cm3": 5.9,
  "m_tot_mub_per_cell": 1.31,
  "space_group": "P4/mmm, No. 123",
  "raw_formation_energy_mev_per_atom": 956,
  "energy_ev_per_cell": -32.68,
  "cell": [[4.196, 0.000, 0.000], [0.000, 4.196, 0.000], [0.000, 0.000, 3.316]],
  "species": ["V", "V", "C", "Br", "N"],
  "frac_coords": [[0.000, 0.500, 0.000], [0.500, 0.000, 0.000], [0.000, 0.000, 0.000], [0.500, 0.500, 0.500], [0.000, 0.000, 0.500]]
}


5.
{
  "formula": "Na3CBr",
  "functional": "PBE",
  "state": "optimized geometry",
  "rho_g_cm3": 2.2,
  "m_tot_mub_per_cell": 2.00,
  "space_group": "Pm-3m, No. 221",
  "raw_formation_energy_mev_per_atom": 249,
  "energy_ev_per_cell": -13.61,
  "cell": [[4.961, 0.000, 0.000], [0.000, 4.961, 0.000], [0.000, 0.000, 4.961]],
  "species": ["Na", "Na", "Na", "C", "Br"],
  "frac_coords": [[0.000, 0.000, 0.500], [0.000, 0.500, 0.000], [0.500, 0.000, 0.000], [0.000, 0.000, 0.000], [0.500, 0.500, 0.500]]
}


6.
{
  "formula": "NaC2Br",
  "functional": "PBE",
  "state": "optimized geometry",
  "rho_g_cm3": 3.7,
  "m_tot_mub_per_cell": 0.00,
  "space_group": "Fm-3m, No. 225",
  "raw_formation_energy_mev_per_atom": 2681,
  "energy_ev_per_cell": -10.71,
  "cell": [[0.000, 3.056, 3.056], [3.056, 0.000, 3.056], [3.056, 3.056, 0.000]],
  "species": ["Na", "C", "C", "Br"],
  "frac_coords": [[0.000, 0.000, 0.000], [0.250, 0.250, 0.250], [0.750, 0.750, 0.750], [0.500, 0.500, 0.500]]
}